Below is an optimized crystal structure of NiPtW2, with properties calculated at the PBEsol level.

```
4
Lattice="-2.273 -3.275 1.722 0.972 -1.466 3.971 -2.709 0.743 3.312" Properties=species:S:1:pos:R:3 pbc="T T T"
Ni 0.000 0.000 0.000
Pt -2.005 -1.999 4.503
W -1.003 -1.000 2.251
W -3.008 -2.999 6.754
```

Values from the calculation:
- SG = No. 225
- total moment (μB per cell) = 0.00



Below is an optimized crystal structure of Ni2PtW, with properties calculated at the PBEsol level.

```
4
Lattice="2.689 0.000 0.000 0.000 3.612 0.000 0.000 0.000 5.286" Properties=species:S:1:pos:R:3 pbc="T T T"
Ni 0.000 0.000 3.907
Ni 0.000 0.000 1.379
W 1.345 1.806 2.643
Pt 1.345 1.806 0.000
```

Values from the calculation:
- SG = No. 47
- total moment (μB per cell) = 0.00



Below is an optimized crystal structure of NiPtW2, with properties calculated at the PBEsol level.

```
4
Lattice="-3.365 -0.447 -1.584 -1.135 -1.982 2.969 0.969 4.594 1.074" Properties=species:S:1:pos:R:3 pbc="T T T"
Ni 0.000 0.000 0.000
Pt -2.250 -1.214 0.692
W -2.323 1.466 0.091
W -1.208 0.699 2.368
```

Values from the calculation:
- SG = No. 139
- total moment (μB per cell) = 0.00



Number 1: energy of formation 0.38 eV/atom, total energy -9.80 eV/atom, polymorph energy (0 for the lowest one) 492 meV/atom. Number 2: energy of formation -0.11 eV/atom, total energy -8.38 eV/atom, polymorph energy (0 for the lowest one) 105 meV/atom. Number 3: energy of formation -0.08 eV/atom, total energy -10.26 eV/atom, polymorph energy (0 for the lowest one) 31 meV/atom.